The following is a GGA-PBEsol calculation of an optimized crystal structure of CuSiTc2, from Alexandria via LeMat-Bulk.

Properties
Total DFT energy (no corrections)   -8.2907 eV/atom
Crystal system   orthorhombic
ρ   9.4 g cm⁻³

```
4
Lattice="-1.477 2.073 4.139 1.477 -2.073 4.139 1.477 2.073 -4.139" Properties=species:S:1:pos:R:3 pbc="T T T"
Cu 0.000 0.000 0.000
Si 0.000 2.073 2.276
Tc 1.477 0.000 2.216
Tc 0.000 0.000 4.420
```

The following is a GGA-PBEsol calculation of an optimized crystal structure of HfPt2Br, from Alexandria via LeMat-Bulk.

Properties
Total DFT energy (no corrections)   -6.6969 eV/atom
Crystal system   cubic
ρ   15.0 g cm⁻³

```
4
Lattice="0.000 3.296 3.296 3.296 0.000 3.296 3.296 3.296 0.000" Properties=species:S:1:pos:R:3 pbc="T T T"
Hf 0.000 0.000 0.000
Pt 1.648 1.648 1.648
Pt 4.944 4.944 4.944
Br 3.296 3.296 3.296
```

The following is a GGA-PBEsol calculation of an optimized crystal structure of Ta2Pd2W, from Alexandria via LeMat-Bulk.

Properties
Crystal system   tetragonal
ρ   14.7 g cm⁻³
E_form   0.308 eV per atom

```
5
Lattice="-1.755 1.755 6.962 1.755 -1.755 6.962 1.755 1.755 -6.962" Properties=species:S:1:pos:R:3 pbc="T T T"
Ta 0.000 0.000 1.384
Ta 0.000 0.000 12.539
Pd 1.755 0.000 3.481
Pd 0.000 1.755 3.481
W 0.000 0.000 6.962
```

The following is a GGA-PBEsol calculation of an optimized crystal structure of InBRh2Br, from Alexandria via LeMat-Bulk.

Properties
Total DFT energy (no corrections)   -5.2191 eV/atom
Crystal system   tetragonal
ρ   8.6 g cm⁻³

```
5
Lattice="4.169 0.000 0.000 0.000 4.169 0.000 0.000 0.000 4.545" Properties=species:S:1:pos:R:3 pbc="T T T"
In 0.000 0.000 0.000
B 2.085 2.085 2.272
Rh 0.000 2.085 2.272
Rh 2.085 0.000 2.272
Br 2.085 2.085 0.000
```

The following is a GGA-PBEsol calculation of an optimized crystal structure of NbCrPd2, from Alexandria via LeMat-Bulk.

Properties
Crystal system   cubic
ρ   9.6 g cm⁻³
E_form   0.073 eV per atom

```
4
Lattice="0.000 3.136 3.136 3.136 0.000 3.136 3.136 3.136 0.000" Properties=species:S:1:pos:R:3 pbc="T T T"
Nb 0.000 0.000 0.000
Cr 3.136 3.136 3.136
Pd 1.568 1.568 1.568
Pd 4.704 4.704 4.704
```

The following is a GGA-PBEsol calculation of an optimized crystal structure of YCoBr2, from Alexandria via LeMat-Bulk.

Properties
Crystal system   tetragonal
ρ   5.8 g cm⁻³
Offset from the most stable computed form   422.8 meV per atom

```
8
Lattice="-2.374 2.374 7.861 2.374 -2.374 7.861 2.374 2.374 -7.861" Properties=species:S:1:pos:R:3 pbc="T T T"
Y 0.000 0.000 0.000
Y 0.000 2.374 3.930
Co 2.374 0.000 3.930
Co 0.000 0.000 7.861
Br 1.187 -0.967 5.895
Br 1.407 1.187 1.965
Br 1.187 3.340 -1.965
Br 0.967 1.187 9.826
```

The following is a GGA-PBEsol calculation of an optimized crystal structure of ZrHg2Os, from Alexandria via LeMat-Bulk.

Properties
Crystal system   tetragonal
ρ   15.3 g cm⁻³
Offset from the most stable computed form   0.0 meV per atom
E_form   0.348 eV per atom

```
4
Lattice="3.570 0.000 0.000 0.000 3.570 0.000 0.000 0.000 5.804" Properties=species:S:1:pos:R:3 pbc="T T T"
Zr 0.000 0.000 0.000
Hg 1.785 1.785 1.514
Hg 1.785 1.785 4.290
Os 0.000 0.000 2.902
```

The following is a GGA-PBEsol calculation of an optimized crystal structure of OsRuCl, from Alexandria via LeMat-Bulk.

Properties
Crystal system   orthorhombic
ρ   12.3 g cm⁻³
Offset from the most stable computed form   333.0 meV per atom

```
3
Lattice="0.000 2.483 6.495 1.373 0.000 6.495 1.373 2.483 0.000" Properties=species:S:1:pos:R:3 pbc="T T T"
Os 0.000 0.000 0.000
Ru 1.373 2.483 8.586
Cl 1.373 2.483 4.243
```

The following is a GGA-PBEsol calculation of an optimized crystal structure of Ta2Be2Sb, from Alexandria via LeMat-Bulk.

Properties
Total DFT energy (no corrections)   -7.5461 eV/atom
Crystal system   tetragonal
ρ   11.9 g cm⁻³

```
10
Lattice="6.235 0.000 0.000 0.000 6.235 0.000 0.000 0.000 3.609" Properties=species:S:1:pos:R:3 pbc="T T T"
Ta 1.091 2.026 0.000
Ta 2.026 5.144 0.000
Ta 4.209 1.091 0.000
Ta 5.144 4.209 0.000
Be 0.708 3.825 1.804
Be 2.410 0.708 1.804
Be 3.825 5.527 1.804
Be 5.527 2.410 1.804
Sb 0.000 0.000 1.804
Sb 3.118 3.118 1.804
```

The following is a GGA-PBEsol calculation of an optimized crystal structure of PrB2Pt2C, from Alexandria via LeMat-Bulk.

Properties
Crystal system   tetragonal
ρ   11.9 g cm⁻³
E_form   -0.649 eV per atom

```
6
Lattice="-1.911 1.911 5.371 1.911 -1.911 5.371 1.911 1.911 -5.371" Properties=species:S:1:pos:R:3 pbc="T T T"
Pr 0.000 0.000 0.000
B 0.000 0.000 3.882
B 0.000 0.000 6.859
Pt 1.911 0.000 2.685
Pt 0.000 1.911 2.685
C 0.000 0.000 5.371
```

The following is a GGA-PBEsol calculation of an optimized crystal structure of BaSn3Pt, from Alexandria via LeMat-Bulk.

Properties
Crystal system   tetragonal
ρ   8.7 g cm⁻³
E_form   -0.706 eV per atom

```
5
Lattice="-2.442 2.442 5.530 2.442 -2.442 5.530 2.442 2.442 -5.530" Properties=species:S:1:pos:R:3 pbc="T T T"
Ba 0.000 0.000 0.000
Sn 2.442 0.000 2.751
Sn 0.000 0.000 6.472
Sn 0.000 2.442 2.751
Pt 0.000 0.000 3.854
```

The following is a GGA-PBEsol calculation of an optimized crystal structure of Y5Ag24, from Alexandria via LeMat-Bulk.

Properties
Crystal system   cubic
ρ   9.4 g cm⁻³
E_form   -0.147 eV per atom

```
29
Lattice="-5.122 5.122 5.122 5.122 -5.122 5.122 5.122 5.122 -5.122" Properties=species:S:1:pos:R:3 pbc="T T T"
Y 0.000 0.000 0.000
Y 3.192 3.192 -3.192
Y 3.192 -3.192 3.192
Y 1.930 1.930 1.930
Y -3.192 3.192 3.192
Ag 2.890 0.947 -0.947
Ag 2.890 -0.947 0.947
Ag 5.504 1.404 -1.404
Ag 5.504 -1.404 1.404
Ag 7.354 0.947 0.947
Ag 0.947 2.890 -0.947
Ag 0.947 -0.947 2.890
Ag 4.740 1.404 1.404
Ag 3.718 3.718 -0.382
Ag 3.718 -0.382 3.718
Ag -0.947 2.890 0.947
Ag -0.947 0.947 2.890
Ag 1.404 5.504 -1.404
Ag 1.404 -1.404 5.504
Ag 1.404 4.740 1.404
Ag 1.404 1.404 4.740
Ag 4.174 4.174 2.232
Ag 4.174 2.232 4.174
Ag -1.404 5.504 1.404
Ag -1.404 1.404 5.504
Ag -0.382 3.718 3.718
Ag 0.947 7.354 0.947
Ag 0.947 0.947 7.354
Ag 2.232 4.174 4.174
```

The following is a GGA-PBEsol calculation of an optimized crystal structure of CdTc2PtPb, from Alexandria via LeMat-Bulk.

Properties
Crystal system   tetragonal
ρ   9.4 g cm⁻³
E_form   2.423 eV per atom

```
5
Lattice="4.977 0.000 0.000 0.000 4.977 0.000 0.000 0.000 5.064" Properties=species:S:1:pos:R:3 pbc="T T T"
Cd 0.000 0.000 0.000
Tc 0.000 2.488 2.532
Tc 2.488 0.000 2.532
Pt 2.488 2.488 0.000
Pb 0.000 0.000 2.532
```

The following is a GGA-PBEsol calculation of an optimized crystal structure of InAgP, from Alexandria via LeMat-Bulk.

Properties
Crystal system   orthorhombic
ρ   7.5 g cm⁻³
Offset from the most stable computed form   133.0 meV per atom
E_form   0.290 eV per atom

```
3
Lattice="0.000 2.188 5.904 2.170 0.000 5.904 2.170 2.188 0.000" Properties=species:S:1:pos:R:3 pbc="T T T"
In 0.000 0.000 0.000
Ag 2.170 2.188 8.083
P 2.170 2.188 3.766
```

The following is a GGA-PBEsol calculation of an optimized crystal structure of Mg3CuGe, from Alexandria via LeMat-Bulk.

Properties
Crystal system   cubic
ρ   3.2 g cm⁻³
E_form   0.260 eV per atom

```
5
Lattice="4.772 0.000 0.000 0.000 4.772 0.000 0.000 0.000 4.772" Properties=species:S:1:pos:R:3 pbc="T T T"
Mg 0.000 0.000 2.386
Mg 0.000 2.386 0.000
Mg 2.386 0.000 0.000
Cu 0.000 0.000 0.000
Ge 2.386 2.386 2.386
```

The following is a GGA-PBEsol calculation of an optimized crystal structure of BaTcCl2, from Alexandria via LeMat-Bulk.

Properties
Crystal system   tetragonal
ρ   5.6 g cm⁻³
Offset from the most stable computed form   0.0 meV per atom

```
4
Lattice="3.562 0.000 0.000 0.000 3.562 0.000 0.000 0.000 7.190" Properties=species:S:1:pos:R:3 pbc="T T T"
Ba 0.000 0.000 0.000
Tc 1.781 1.781 2.628
Cl 0.000 0.000 3.008
Cl 1.781 1.781 5.350
```

The following is a GGA-PBEsol calculation of an optimized crystal structure of CdNi2Sb, from Alexandria via LeMat-Bulk.

Properties
Total DFT energy (no corrections)   -4.2249 eV/atom
Crystal system   cubic
ρ   9.3 g cm⁻³

```
4
Lattice="0.000 3.157 3.157 3.157 0.000 3.157 3.157 3.157 0.000" Properties=species:S:1:pos:R:3 pbc="T T T"
Cd 0.000 0.000 0.000
Ni 3.157 3.157 3.157
Ni 4.735 4.735 4.735
Sb 1.578 1.578 1.578
```

The following is a GGA-PBEsol calculation of an optimized crystal structure of Be2HgTe, from Alexandria via LeMat-Bulk.

Properties
Crystal system   orthorhombic
ρ   7.5 g cm⁻³
Offset from the most stable computed form   123.9 meV per atom

```
4
Lattice="3.486 0.000 0.000 0.000 3.589 0.000 0.000 0.000 6.141" Properties=species:S:1:pos:R:3 pbc="T T T"
Be 0.000 0.000 0.000
Be 0.000 1.795 3.070
Hg 1.743 0.000 3.070
Te 1.743 1.795 0.000
```

The following is a GGA-PBEsol calculation of an optimized crystal structure of BaCoSe2O6, from Alexandria via LeMat-Bulk.

Properties
Total DFT energy (no corrections)   -6.2100 eV/atom
Crystal system   orthorhombic
ρ   5.1 g cm⁻³

```
40
Lattice="14.862 0.000 0.000 0.000 5.479 0.000 0.000 0.000 7.179" Properties=species:S:1:pos:R:3 pbc="T T T"
Ba 1.764 1.370 0.512
Ba 5.666 4.109 4.101
Ba 9.195 1.370 3.077
Ba 13.097 4.109 6.667
Co 1.844 4.109 5.117
Co 5.587 1.370 1.528
Co 9.275 4.109 5.651
Co 13.018 1.370 2.061
Se 0.235 1.370 4.464
Se 3.417 1.370 3.862
Se 4.014 4.109 0.273
Se 7.195 4.109 0.875
Se 7.666 1.370 6.304
Se 10.848 1.370 6.906
Se 11.445 4.109 3.317
Se 14.626 4.109 2.714
O 0.365 0.046 5.586
O 0.365 2.693 5.586
O 1.423 4.109 3.140
O 2.307 4.109 7.131
O 3.336 0.035 4.959
O 3.336 2.704 4.959
O 4.095 2.775 1.370
O 4.095 5.443 1.370
O 5.123 1.370 3.542
O 6.008 1.370 6.730
O 7.066 2.786 1.997
O 7.066 5.432 1.997
O 7.795 0.046 5.182
O 7.795 2.693 5.182
O 8.853 4.109 0.449
O 9.738 4.109 3.637
O 10.767 0.035 5.809
O 10.767 2.704 5.809
O 11.526 2.775 2.220
O 11.526 5.443 2.220
O 12.554 1.370 0.048
O 13.439 1.370 4.038
O 14.497 2.786 1.592
O 14.497 5.432 1.592
```

The following is a GGA-PBEsol calculation of an optimized crystal structure of La2Tl3Pb3, from Alexandria via LeMat-Bulk.

Properties
Crystal system   orthorhombic
ρ   11.2 g cm⁻³
E_form   -0.462 eV per atom

```
8
Lattice="4.771 0.000 0.000 0.000 4.834 0.000 0.000 0.000 9.716" Properties=species:S:1:pos:R:3 pbc="T T T"
La 0.000 0.000 2.403
La 0.000 0.000 7.313
Tl 0.000 2.417 0.000
Tl 0.000 2.417 4.858
Tl 2.386 0.000 4.858
Pb 2.386 0.000 0.000
Pb 2.386 2.417 2.442
Pb 2.386 2.417 7.274
```

The following is a GGA-PBEsol calculation of an optimized crystal structure of YBe3Ir, from Alexandria via LeMat-Bulk.

Properties
Crystal system   cubic
ρ   6.8 g cm⁻³
E_form   -0.280 eV per atom

```
5
Lattice="4.227 0.000 0.000 0.000 4.227 0.000 0.000 0.000 4.227" Properties=species:S:1:pos:R:3 pbc="T T T"
Y 0.000 0.000 0.000
Be 0.000 2.114 2.114
Be 2.114 0.000 2.114
Be 2.114 2.114 0.000
Ir 2.114 2.114 2.114
```

The following is a GGA-PBEsol calculation of an optimized crystal structure of TcGeNO2, from Alexandria via LeMat-Bulk.

Properties
Total DFT energy (no corrections)   -6.9557 eV/atom
Crystal system   tetragonal
ρ   6.9 g cm⁻³

```
5
Lattice="3.620 0.000 0.000 0.000 3.620 0.000 0.000 0.000 3.955" Properties=species:S:1:pos:R:3 pbc="T T T"
Tc 0.000 0.000 0.000
Ge 1.810 1.810 1.977
N 1.810 1.810 0.000
O 0.000 1.810 1.977
O 1.810 0.000 1.977
```

The following is a GGA-PBEsol calculation of an optimized crystal structure of Ca5Bi6Cl12O8, from Alexandria via LeMat-Bulk.

Properties
Total DFT energy (no corrections)   -5.1769 eV/atom
Crystal system   orthorhombic
ρ   5.1 g cm⁻³

```
31
Lattice="-2.746 5.516 10.800 2.746 -5.516 10.800 2.746 5.516 -10.800" Properties=species:S:1:pos:R:3 pbc="T T T"
Ca 0.000 0.000 0.000
Ca 2.746 0.000 4.144
Ca 2.746 2.960 0.000
Ca 0.000 2.556 10.800
Ca 0.000 5.516 6.656
Bi 2.746 -2.696 6.587
Bi 0.000 0.000 6.565
Bi 0.000 2.820 4.214
Bi 2.746 2.696 6.587
Bi 0.000 0.000 15.036
Bi 0.000 8.211 4.214
Cl 2.746 0.000 0.000
Cl 2.746 2.570 -2.663
Cl 0.000 0.000 2.704
Cl 0.000 2.654 0.000
Cl 2.746 2.570 2.663
Cl 2.746 0.000 7.996
Cl 0.000 0.000 10.800
Cl 0.000 5.516 2.804
Cl 0.000 2.946 8.137
Cl 0.000 8.378 0.000
Cl 0.000 0.000 18.897
Cl 0.000 2.946 13.464
O 1.408 4.110 -5.411
O 1.338 -1.405 5.389
O 1.408 6.921 -5.411
O 1.338 1.405 5.389
O 1.408 4.110 5.411
O 1.338 -1.405 16.211
O 1.408 6.921 5.411
O 1.338 1.405 16.211
```

The following is a GGA-PBEsol calculation of an optimized crystal structure of TiCdHg2, from Alexandria via LeMat-Bulk.

Properties
Crystal system   tetragonal
ρ   12.1 g cm⁻³
E_form   -0.045 eV per atom

```
4
Lattice="4.369 0.000 0.000 0.000 4.369 0.000 0.000 0.000 4.022" Properties=species:S:1:pos:R:3 pbc="T T T"
Ti 0.000 0.000 0.000
Cd 2.184 2.184 0.000
Hg 0.000 2.184 2.011
Hg 2.184 0.000 2.011
```

It is found that the Fermi-level density of states values, taken in the order of the records, are 2.28 3.33 3.49 3.05 4.24 1.96 3.61 4.39 2.53 1.95 1.82 10.72 5.65 1.65 2.25 3.17 2.17 1.34 7.52 4.41 1.72 1.20 0.00 3.74 states/eV/f.u..